1:
# meta-GGA SCAN FePSCl2, PBEsol geometry
data_FePSCl2
_cell_length_a 4.2800
_cell_length_b 4.2800
_cell_length_c 4.7861
_cell_angle_alpha 90.00
_cell_angle_beta 90.00
_cell_angle_gamma 90.00
_symmetry_space_group_name_H-M 'P 4/m m m'
_symmetry_Int_Tables_number 123
_symmetry_space_group_name_Hall '-P 4 2'
loop_
_atom_site_label
_atom_site_type_symbol
_atom_site_fract_x
_atom_site_fract_y
_atom_site_fract_z
Fe1 Fe 0.0000 0.0000 0.0000
P1 P 0.0000 0.0000 0.5000
S1 S 0.5000 0.5000 0.5000
Cl1 Cl 0.0000 0.5000 0.0000
# total magnetization	2.552	μB/cell
# V	87.7	Å³ per cell
# DOS at the Fermi energy	3.2	states/eV/f.u.



2:
# meta-GGA SCAN FePSCl2, PBEsol geometry
data_FePSCl2
_cell_length_a 4.5629
_cell_length_b 4.5629
_cell_length_c 4.7704
_cell_angle_alpha 90.00
_cell_angle_beta 90.00
_cell_angle_gamma 90.00
_symmetry_space_group_name_H-M 'P 4/m m m'
_symmetry_Int_Tables_number 123
_symmetry_space_group_name_Hall '-P 4 2'
loop_
_atom_site_label
_atom_site_type_symbol
_atom_site_fract_x
_atom_site_fract_y
_atom_site_fract_z
Fe1 Fe 0.0000 0.0000 0.0000
P1 P 0.5000 0.5000 0.0000
S1 S 0.5000 0.5000 0.5000
Cl1 Cl 0.0000 0.5000 0.5000
# total magnetization	4.010	μB/cell
# V	99.3	Å³ per cell
# DOS at the Fermi energy	2.6	states/eV/f.u.



1 takes first place; second place is 441 meV/atom up.



1:
# meta-GGA SCAN FePbCl2, PBEsol geometry
data_FePbCl2
_cell_length_a 3.1010
_cell_length_b 3.1010
_cell_length_c 8.5736
_cell_angle_alpha 90.00
_cell_angle_beta 90.00
_cell_angle_gamma 90.00
_symmetry_space_group_name_H-M 'P 4/m m m'
_symmetry_Int_Tables_number 123
_symmetry_space_group_name_Hall '-P 4 2'
loop_
_atom_site_label
_atom_site_type_symbol
_atom_site_fract_x
_atom_site_fract_y
_atom_site_fract_z
Fe1 Fe 0.0000 0.0000 0.0000
Pb1 Pb 0.0000 0.0000 0.5000
Cl1 Cl 0.5000 0.5000 0.1733
# total magnetization	3.529	μB/cell
# V	82.4	Å³ per cell
# DOS at the Fermi energy	1.3	states/eV/f.u.



2:
# meta-GGA SCAN FePbCl2, PBEsol geometry
data_FePbCl2
_cell_length_a 3.2591
_cell_length_b 3.2591
_cell_length_c 7.7121
_cell_angle_alpha 90.00
_cell_angle_beta 90.00
_cell_angle_gamma 90.00
_symmetry_space_group_name_H-M 'P 4 m m'
_symmetry_Int_Tables_number 99
_symmetry_space_group_name_Hall 'P 4 -2'
loop_
_atom_site_label
_atom_site_type_symbol
_atom_site_fract_x
_atom_site_fract_y
_atom_site_fract_z
Fe1 Fe 0.0000 0.0000 0.0000
Pb1 Pb 0.5000 0.5000 0.2799
Cl1 Cl 0.0000 0.0000 0.5285
Cl2 Cl 0.5000 0.5000 0.8746
# total magnetization	3.471	μB/cell
# V	81.9	Å³ per cell
# DOS at the Fermi energy	0.8	states/eV/f.u.



1 takes first place; second place is 118 meV/atom up.



1:
# meta-GGA SCAN FePbCl2, PBEsol geometry
data_FePbCl2
_cell_length_a 3.2814
_cell_length_b 4.5116
_cell_length_c 5.6801
_cell_angle_alpha 90.00
_cell_angle_beta 90.00
_cell_angle_gamma 90.00
_symmetry_space_group_name_H-M 'P m m m'
_symmetry_Int_Tables_number 47
_symmetry_space_group_name_Hall '-P 2 2'
loop_
_atom_site_label
_atom_site_type_symbol
_atom_site_fract_x
_atom_site_fract_y
_atom_site_fract_z
Fe1 Fe 0.0000 0.0000 0.0000
Pb1 Pb 0.5000 0.0000 0.5000
Cl1 Cl 0.0000 0.5000 0.5000
Cl2 Cl 0.5000 0.5000 0.0000
# total magnetization	3.474	μB/cell
# V	84.1	Å³ per cell
# DOS at the Fermi energy	2.1	states/eV/f.u.



2:
# meta-GGA SCAN FePbCl2, PBEsol geometry
data_FePbCl2
_cell_length_a 4.6118
_cell_length_b 4.6118
_cell_length_c 7.9166
_cell_angle_alpha 90.00
_cell_angle_beta 90.00
_cell_angle_gamma 90.00
_symmetry_space_group_name_H-M 'I 4/m m m'
_symmetry_Int_Tables_number 139
_symmetry_space_group_name_Hall '-I 4 2'
loop_
_atom_site_label
_atom_site_type_symbol
_atom_site_fract_x
_atom_site_fract_y
_atom_site_fract_z
Fe1 Fe 0.0000 0.0000 0.0000
Pb1 Pb 0.0000 0.0000 0.5000
Cl1 Cl 0.0000 0.5000 0.2500
# total magnetization	7.338	μB/cell
# V	168.4	Å³ per cell
# DOS at the Fermi energy	1.2	states/eV/f.u.



3:
# meta-GGA SCAN FePbCl2, PBEsol geometry
data_FePbCl2
_cell_length_a 3.3175
_cell_length_b 5.3634
_cell_length_c 9.3961
_cell_angle_alpha 90.00
_cell_angle_beta 90.00
_cell_angle_gamma 90.00
_symmetry_space_group_name_H-M 'I m m m'
_symmetry_Int_Tables_number 71
_symmetry_space_group_name_Hall '-I 2 2'
loop_
_atom_site_label
_atom_site_type_symbol
_atom_site_fract_x
_atom_site_fract_y
_atom_site_fract_z
Fe1 Fe 0.0000 0.0000 0.0000
Pb1 Pb 0.0000 0.0000 0.5000
Cl1 Cl 0.0000 0.5000 0.3205
# total magnetization	5.944	μB/cell
# V	167.2	Å³ per cell
# DOS at the Fermi energy	1.4	states/eV/f.u.



3 takes first place; second place is 338 meV/atom up.



1:
# meta-GGA SCAN FePtCl2, PBEsol geometry
data_FePtCl2
_cell_length_a 6.3592
_cell_length_b 6.3592
_cell_length_c 6.3592
_cell_angle_alpha 90.00
_cell_angle_beta 90.00
_cell_angle_gamma 90.00
_symmetry_space_group_name_H-M 'F -4 3 m'
_symmetry_Int_Tables_number 216
_symmetry_space_group_name_Hall 'F -4 2 3'
loop_
_atom_site_label
_atom_site_type_symbol
_atom_site_fract_x
_atom_site_fract_y
_atom_site_fract_z
Fe1 Fe 0.0000 0.0000 0.0000
Pt1 Pt 0.2500 0.2500 0.2500
Cl1 Cl 0.0000 0.0000 0.5000
Cl2 Cl 0.2500 0.2500 0.7500
# total magnetization	16.707	μB/cell
# V	257.2	Å³ per cell
# DOS at the Fermi energy	1.0	states/eV/f.u.



2:
# meta-GGA SCAN FePtCl2, PBEsol geometry
data_FePtCl2
_cell_length_a 3.3666
_cell_length_b 3.3666
_cell_length_c 23.6192
_cell_angle_alpha 90.00
_cell_angle_beta 90.00
_cell_angle_gamma 120.00
_symmetry_space_group_name_H-M 'R 3 m'
_symmetry_Int_Tables_number 160
_symmetry_space_group_name_Hall 'R 3 -2"'
loop_
_atom_site_label
_atom_site_type_symbol
_atom_site_fract_x
_atom_site_fract_y
_atom_site_fract_z
Fe1 Fe 0.0000 0.0000 0.0000
Pt1 Pt 0.0000 0.0000 0.7292
Cl1 Cl 0.0000 0.0000 0.2696
Cl2 Cl 0.0000 0.0000 0.4669
# total magnetization	12.000	μB/cell
# V	231.8	Å³ per cell
# DOS at the Fermi energy	2.1	states/eV/f.u.



2 takes first place; second place is 855 meV/atom up.



1:
# meta-GGA SCAN FePtCl2, PBEsol geometry
data_FePtCl2
_cell_length_a 2.9545
_cell_length_b 3.9759
_cell_length_c 5.5545
_cell_angle_alpha 90.00
_cell_angle_beta 90.00
_cell_angle_gamma 90.00
_symmetry_space_group_name_H-M 'P m m m'
_symmetry_Int_Tables_number 47
_symmetry_space_group_name_Hall '-P 2 2'
loop_
_atom_site_label
_atom_site_type_symbol
_atom_site_fract_x
_atom_site_fract_y
_atom_site_fract_z
Fe1 Fe 0.0000 0.0000 0.0000
Pt1 Pt 0.5000 0.0000 0.5000
Cl1 Cl 0.0000 0.5000 0.5000
Cl2 Cl 0.5000 0.5000 0.0000
# total magnetization	3.590	μB/cell
# V	65.2	Å³ per cell
# DOS at the Fermi energy	2.3	states/eV/f.u.



2:
# meta-GGA SCAN FePtCl2, PBEsol geometry
data_FePtCl2
_cell_length_a 3.4469
_cell_length_b 5.3683
_cell_length_c 8.1744
_cell_angle_alpha 90.00
_cell_angle_beta 90.00
_cell_angle_gamma 90.00
_symmetry_space_group_name_H-M 'C m m 2'
_symmetry_Int_Tables_number 35
_symmetry_space_group_name_Hall 'C 2 -2'
loop_
_atom_site_label
_atom_site_type_symbol
_atom_site_fract_x
_atom_site_fract_y
_atom_site_fract_z
Fe1 Fe 0.0000 0.0000 0.0000
Pt1 Pt 0.0000 0.5000 0.7980
Cl1 Cl 0.0000 0.0000 0.5866
Cl2 Cl 0.0000 0.5000 0.1941
# total magnetization	7.380	μB/cell
# V	151.3	Å³ per cell
# DOS at the Fermi energy	1.8	states/eV/f.u.



3:
# meta-GGA SCAN FePtCl2, PBEsol geometry
data_FePtCl2
_cell_length_a 6.2856
_cell_length_b 6.2856
_cell_length_c 6.2856
_cell_angle_alpha 90.00
_cell_angle_beta 90.00
_cell_angle_gamma 90.00
_symmetry_space_group_name_H-M 'F m -3 m'
_symmetry_Int_Tables_number 225
_symmetry_space_group_name_Hall '-F 4 2 3'
loop_
_atom_site_label
_atom_site_type_symbol
_atom_site_fract_x
_atom_site_fract_y
_atom_site_fract_z
Fe1 Fe 0.0000 0.0000 0.0000
Pt1 Pt 0.0000 0.0000 0.5000
Cl1 Cl 0.2500 0.2500 0.2500
# total magnetization	16.017	μB/cell
# V	248.3	Å³ per cell
# DOS at the Fermi energy	3.3	states/eV/f.u.



2 takes first place; second place is 406 meV/atom up.



1:
# meta-GGA SCAN FePtCl, PBEsol geometry
data_FePtCl
_cell_length_a 2.9060
_cell_length_b 2.9060
_cell_length_c 6.4159
_cell_angle_alpha 90.00
_cell_angle_beta 90.00
_cell_angle_gamma 120.00
_symmetry_space_group_name_H-M 'P 3 m 1'
_symmetry_Int_Tables_number 156
_symmetry_space_group_name_Hall 'P 3 -2"'
loop_
_atom_site_label
_atom_site_type_symbol
_atom_site_fract_x
_atom_site_fract_y
_atom_site_fract_z
Fe1 Fe 0.0000 0.0000 0.0000
Pt1 Pt 0.3333 0.6667 0.6944
Cl1 Cl 0.6667 0.3333 0.2552
# total magnetization	4.024	μB/cell
# V	46.9	Å³ per cell
# DOS at the Fermi energy	1.4	states/eV/f.u.



2:
# meta-GGA SCAN FePtCl, PBEsol geometry
data_FePtCl
_cell_length_a 2.8416
_cell_length_b 2.8416
_cell_length_c 11.8394
_cell_angle_alpha 90.00
_cell_angle_beta 90.00
_cell_angle_gamma 90.00
_symmetry_space_group_name_H-M 'I 4 m m'
_symmetry_Int_Tables_number 107
_symmetry_space_group_name_Hall 'I 4 -2'
loop_
_atom_site_label
_atom_site_type_symbol
_atom_site_fract_x
_atom_site_fract_y
_atom_site_fract_z
Fe1 Fe 0.0000 0.0000 0.0000
Pt1 Pt 0.0000 0.0000 0.6404
Cl1 Cl 0.0000 0.0000 0.3706
# total magnetization	8.248	μB/cell
# V	95.6	Å³ per cell
# DOS at the Fermi energy	1.2	states/eV/f.u.



1 takes first place; second place is 52 meV/atom up.



1:
# meta-GGA SCAN Fe2RhCl, PBEsol geometry
data_Fe2RhCl
_cell_length_a 2.9613
_cell_length_b 2.8899
_cell_length_c 6.7620
_cell_angle_alpha 90.00
_cell_angle_beta 90.07
_cell_angle_gamma 90.00
_symmetry_space_group_name_H-M 'P 1 m 1'
_symmetry_Int_Tables_number 6
_symmetry_space_group_name_Hall 'P -2y'
loop_
_atom_site_label
_atom_site_type_symbol
_atom_site_fract_x
_atom_site_fract_y
_atom_site_fract_z
Fe1 Fe 0.0000 0.0000 0.0000
Fe2 Fe 0.5004 0.5000 0.2064
Rh1 Rh 0.4990 0.5000 0.7955
Cl1 Cl 0.5118 0.0000 0.4768
# total magnetization	7.149	μB/cell
# V	57.9	Å³ per cell
# DOS at the Fermi energy	2.1	states/eV/f.u.



2:
# meta-GGA SCAN Fe2RhCl, PBEsol geometry
data_Fe2RhCl
_cell_length_a 2.8703
_cell_length_b 2.8987
_cell_length_c 6.9943
_cell_angle_alpha 90.00
_cell_angle_beta 90.00
_cell_angle_gamma 90.00
_symmetry_space_group_name_H-M 'P m m m'
_symmetry_Int_Tables_number 47
_symmetry_space_group_name_Hall '-P 2 2'
loop_
_atom_site_label
_atom_site_type_symbol
_atom_site_fract_x
_atom_site_fract_y
_atom_site_fract_z
Fe1 Fe 0.0000 0.0000 0.2235
Rh1 Rh 0.5000 0.5000 0.0000
Cl1 Cl 0.5000 0.0000 0.5000
# total magnetization	7.570	μB/cell
# V	58.2	Å³ per cell
# DOS at the Fermi energy	3.1	states/eV/f.u.



2 takes first place; second place is 15 meV/atom up.



1:
# meta-GGA SCAN Fe2RuCl, PBEsol geometry
data_Fe2RuCl
_cell_length_a 2.8357
_cell_length_b 2.8357
_cell_length_c 6.4127
_cell_angle_alpha 90.00
_cell_angle_beta 90.00
_cell_angle_gamma 90.00
_symmetry_space_group_name_H-M 'P 4 m m'
_symmetry_Int_Tables_number 99
_symmetry_space_group_name_Hall 'P 4 -2'
loop_
_atom_site_label
_atom_site_type_symbol
_atom_site_fract_x
_atom_site_fract_y
_atom_site_fract_z
Fe1 Fe 0.0000 0.0000 0.0000
Fe2 Fe 0.5000 0.5000 0.2309
Ru1 Ru 0.0000 0.0000 0.4467
Cl1 Cl 0.5000 0.5000 0.7502
# total magnetization	5.917	μB/cell
# V	51.6	Å³ per cell
# DOS at the Fermi energy	4.4	states/eV/f.u.



2:
# meta-GGA SCAN Fe2RuCl, PBEsol geometry
data_Fe2RuCl
_cell_length_a 2.8505
_cell_length_b 4.7139
_cell_length_c 7.9971
_cell_angle_alpha 90.00
_cell_angle_beta 90.00
_cell_angle_gamma 90.00
_symmetry_space_group_name_H-M 'C m m 2'
_symmetry_Int_Tables_number 35
_symmetry_space_group_name_Hall 'C 2 -2'
loop_
_atom_site_label
_atom_site_type_symbol
_atom_site_fract_x
_atom_site_fract_y
_atom_site_fract_z
Fe1 Fe 0.0000 0.0000 0.0000
Fe2 Fe 0.0000 0.5000 0.2391
Ru1 Ru 0.0000 0.0000 0.4852
Cl1 Cl 0.0000 0.5000 0.7652
# total magnetization	13.941	μB/cell
# V	107.5	Å³ per cell
# DOS at the Fermi energy	2.5	states/eV/f.u.



1 takes first place; second place is 11 meV/atom up.